A plane-wave DFT calculation with PBE-GGA was carried out for a geometry-optimized Tl2Ga2Pb structure.

Calculated values
For the density, the calculation gives 9.06 g cm⁻³. The calculation puts the formation energy at 0.15 eV per atom. The calculation puts the offset from the most stable computed form at 79 meV/atom. The final energy comes out at -2.748 eV/atom.

The structure in extended XYZ format:
```
5
Lattice="-2.3316 2.3316 6.3660 2.3316 -2.3316 6.3660 2.3316 2.3316 -6.3660" Properties=species:S:1:pos:R:3 pbc="T T T"
Tl 2.3316 0.0000 3.1830
Tl 0.0000 2.3316 3.1830
Ga 0.0000 0.0000 1.2443
Ga 0.0000 0.0000 11.4878
Pb 0.0000 0.0000 6.3660
```